6
Lattice="4.418 0.000 0.000 0.000 4.652 0.000 0.000 0.000 7.875" Properties=species:S:1:pos:R:3 comment="Ba2AsPd3 | Alexandria via LeMat-Bulk | GGA-PBE | optimized geometry" space_group=Pmm2 delta_e_f_mev_per_atom=-675.7 pbc="T T T"
Ba 0.000 0.000 0.000
Ba 2.209 0.000 3.859
As 0.000 2.326 5.297
Pd 0.000 2.326 2.812
Pd 2.209 2.326 1.228
Pd 2.209 2.326 6.420